This record from OQMD via LeMat-Bulk describes a geometry-optimized CoAsAuO structure. The functional is PBE+U.

Output
The value obtained for the distance to the lowest polymorph of the same formula is 0.00 eV per formula unit.

Cell: 4.046 4.046 8.772 Å, 90.00 90.00 90.00°
Fractional coordinates of all 8 atoms:
Co 0.250 0.250 0.038
Co 0.750 0.750 0.962
As 0.250 0.250 0.313
As 0.750 0.750 0.687
Au 0.250 0.750 0.500
Au 0.750 0.250 0.500
O 0.250 0.750 0.000
O 0.750 0.250 0.000

This record from OQMD via LeMat-Bulk describes a geometry-optimized CoAsAuO structure. The functional is PBE+U.

Output
The value obtained for the distance to the lowest polymorph of the same formula is 0.49 eV per formula unit.

Cell: 3.544 7.183 5.398 Å, 90.00 90.00 90.00°
Fractional coordinates of all 8 atoms:
Co 0.000 0.148 0.000
Co 0.000 0.852 0.500
As 0.500 0.352 0.867
As 0.500 0.648 0.367
Au 0.500 0.307 0.392
Au 0.500 0.693 0.892
O 0.000 0.079 0.337
O 0.000 0.921 0.837

This record from OQMD via LeMat-Bulk describes a geometry-optimized CoAsAuO structure. The functional is PBE+U.

Output
The value obtained for the distance to the lowest polymorph of the same formula is 2.54 eV per formula unit.

Cell: 3.875 3.875 6.912 Å, 90.00 90.00 90.00°
Fractional coordinates of all 8 atoms:
Co 0.250 0.750 0.000
Co 0.750 0.250 0.000
As 0.250 0.250 0.191
As 0.750 0.750 0.809
Au 0.250 0.250 0.692
Au 0.750 0.750 0.308
O 0.250 0.750 0.500
O 0.750 0.250 0.500

Which of these has the highest distance to the lowest polymorph of the same formula?
number 3